First-principles (PBE) data for crystalline RbGe2Au2 at its relaxed geometry, as listed in Alexandria.

Calculated values
Energy above the most stable polymorph in this dataset ... 0.039 eV/atom
Calculated density ... 8.37 g/cm³
V ... 124.0 Å³ per cell
Symmetry ... I4/mmm, No. 139
Magnetization ... 0.000 μB per formula unit
DFT total energy ... -3.490 eV per atom

abc: 4.688 4.688 6.543
angles: 69.01 69.01 90.00
Positions (direct):
Au: 0.750 0.250 0.500
Ge: 0.639 0.639 0.723
Ge: 0.361 0.361 0.277
Au: 0.250 0.750 0.500
Rb: 0.000 0.000 0.000